(1)
Below is a geometry-optimized Sr6Al2Zn structure, with properties calculated at the PBE-GGA level.

a = 9.768 Å, b = 9.768 Å, c = 9.768 Å
α = 113.35°, β = 109.93°, γ = 105.23°
Sites, in units of the cell vectors:
Sr: 0.025 0.825 0.200
Sr: 0.247 0.546 0.299
Sr: 0.247 0.949 0.701
Sr: 0.263 0.321 0.584
Sr: 0.263 0.679 0.942
Sr: 0.375 0.175 0.200
Sr: 0.625 0.825 0.800
Sr: 0.737 0.321 0.058
Sr: 0.737 0.679 0.416
Sr: 0.753 0.051 0.299
Sr: 0.753 0.454 0.701
Sr: 0.975 0.175 0.800
Al: 0.000 0.131 0.131
Al: 0.000 0.869 0.869
Al: 0.392 0.392 0.000
Al: 0.608 0.608 0.000
Zn: 0.000 0.500 0.500
Zn: 0.500 0.000 0.500

Calculated values
Space-group type ... Immm, No. 71

=====

(2)
Below is a geometry-optimized Sr3Al4Zn4 structure, with properties calculated at the PBE-GGA level.

a = 6.978 Å, b = 6.978 Å, c = 6.978 Å
α = 109.47°, β = 109.47°, γ = 109.47°
Sites, in units of the cell vectors:
Sr: 0.000 0.500 0.500
Sr: 0.500 0.000 0.500
Sr: 0.500 0.500 0.000
Al: 0.000 0.000 0.739
Al: 0.000 0.739 0.000
Al: 0.261 0.261 0.261
Al: 0.739 0.000 0.000
Zn: 0.000 0.000 0.376
Zn: 0.000 0.376 0.000
Zn: 0.376 0.000 0.000
Zn: 0.624 0.624 0.624

Calculated values
Space-group type ... I-43m, No. 217

=====

Number 1: E_form -0.06 eV per atom, DFT total energy -0.159 Ry per atom. Number 2: E_form -0.22 eV per atom, DFT total energy -0.184 Ry per atom.